IrBrO2F PBE-GGA relaxed; uncorrected energy = -3.323 eV per atom; uncorrected formation energy = 1.142 eV/atom
1.0
-3.394 -1.417 0.722
0.987 -3.212 -1.661
1.890 -1.993 4.978
O Br F Ir
2 1 1 1
direct
0.000 0.500 0.000 O
0.500 0.000 0.000 O
0.000 0.000 0.000 Br
0.000 0.000 0.500 F
0.500 0.500 0.500 Ir